Record 1
Material: VTc3Ni
Method: DFT, PBE-GGA
State: relaxed

Formation energy in eV per atom: 1.39
Crystal system: cubic
Magnetic moment in μB per cell: 0.0

Lattice parameters (Å, degrees): 4.398 4.398 4.398 90.00 90.00 90.00
Sites, in units of the cell vectors:
V 0.000 0.000 0.000
Tc 0.000 0.000 0.500
Tc 0.000 0.500 0.000
Tc 0.500 0.000 0.000
Ni 0.500 0.500 0.500

Record 2
Material: VTcNi6
Method: DFT, PBE-GGA
State: relaxed

Formation energy in eV per atom: 0.10
Crystal system: monoclinic
Magnetic moment in μB per cell: 1.8

Lattice parameters (Å, degrees): 4.768 4.768 4.803 90.83 90.83 119.03
Sites, in units of the cell vectors:
V 0.000 0.000 0.000
Tc 0.000 0.000 0.500
Ni 0.070 0.556 0.752
Ni 0.444 0.930 0.248
Ni 0.449 0.449 0.249
Ni 0.551 0.551 0.751
Ni 0.556 0.070 0.752
Ni 0.930 0.444 0.248

- The lowest formation energy belongs to which entry?
  VTcNi6